# DyNO

An optimized crystal structure of DyNO (GGA-PBE, Alexandria).

Calculated values
The calculation puts the total energy at -7.888 eV/atom. The value obtained for the energy above the most stable polymorph in this dataset is 0 meV per atom. The total moment is 0.000 μB per atom. The value obtained for the uncorrected formation energy is -1926 meV per atom.

abc: 3.174 3.174 15.903
angles: 90.00 90.00 90.00
Space group I4/mmm (No. 139)
Asymmetric unit:
Dy: 0.000 0.000 0.157 x4
N: 0.000 0.000 0.462 x4
O: 0.000 0.000 0.302 x4